[1]
An optimized crystal structure of PmNd6Zn. Source: Alexandria via LeMat-Bulk, functional PBE.

Unit cell a=6.4526 b=6.4553 c=6.4569 alpha=95.91 beta=96.04 gamma=95.89
With the nearest neighbours (Å) after each atom.
Positions (direct):
1 Pm 0.0000 0.0000 0.0000  12 Nd 3.59-3.72
2 Nd 0.0759 0.5464 0.2647  1 Zn 3.05, 1 Nd 3.38
3 Nd 0.2645 0.0766 0.5461  1 Zn 3.05, 1 Nd 3.38
4 Nd 0.4538 0.7354 0.9232  1 Zn 3.05, 1 Nd 3.38
5 Nd 0.5462 0.2646 0.0768  1 Zn 3.05, 1 Nd 3.38
6 Nd 0.7355 0.9234 0.4539  1 Zn 3.05, 1 Nd 3.38
7 Nd 0.9241 0.4536 0.7353  1 Zn 3.05, 1 Nd 3.38
8 Zn 0.5000 0.5000 0.5000  6 Nd 3.05

Properties
M_tot: 0.00 μB/atom
calculated formation energy: 2 kJ/mol of atoms
E: -4.304 eV per atom
calculated density: 6.76 g/cm3



[2]
An optimized crystal structure of Pm2Nd3Zn2. Source: Alexandria via LeMat-Bulk, functional PBE.

Unit cell a=13.0151 b=3.7904 c=9.4757 alpha=90.00 beta=115.98 gamma=90.00
With the nearest neighbours (Å) after each atom.
Positions (direct):
1 Pm 0.1535 0.0000 0.3160  2 Zn 3.08
2 Pm 0.3465 0.5000 0.6840  2 Zn 3.08
3 Pm 0.6535 0.5000 0.3160  2 Zn 3.08
4 Pm 0.8465 0.0000 0.6840  2 Zn 3.08
5 Nd 0.0000 0.5000 0.5000  4 Zn 3.03
6 Nd 0.1106 0.5000 0.9392  3 Zn 3.13-3.16
7 Nd 0.3894 0.0000 0.0608  3 Zn 3.13-3.16
8 Nd 0.5000 0.0000 0.5000  4 Zn 3.03
9 Nd 0.6106 0.0000 0.9392  3 Zn 3.13-3.16
10 Nd 0.8894 0.5000 0.0608  3 Zn 3.13-3.16
11 Zn 0.1758 0.0000 0.7283  5 Nd 3.03-3.16, 2 Pm 3.08
12 Zn 0.3242 0.5000 0.2717  5 Nd 3.03-3.16, 2 Pm 3.08
13 Zn 0.6758 0.5000 0.7283  5 Nd 3.03-3.16, 2 Pm 3.08
14 Zn 0.8242 0.0000 0.2717  5 Nd 3.03-3.16, 2 Pm 3.08

Properties
M_tot: 0.00 μB/atom
calculated formation energy: -12 kJ/mol of atoms
E: -3.889 eV per atom
energy above the lowest structure with this stoichiometry: 0.00 eV per formula unit
calculated density: 6.75 g/cm3



[3]
An optimized crystal structure of PmNd3Zn. Source: Alexandria via LeMat-Bulk, functional PBE.

Unit cell a=6.5771 b=6.5771 c=13.2642 alpha=93.63 beta=93.63 gamma=33.00
With the nearest neighbours (Å) after each atom.
Positions (direct):
1 Pm 0.2024 0.2024 0.2774  2 Zn 3.11
2 Pm 0.7976 0.7976 0.7226  2 Zn 3.11
3 Nd 0.0671 0.0671 0.8143  2 Zn 3.16, 1 Pm 3.53
4 Nd 0.1331 0.1331 0.5382  4 Zn 3.16-3.21, 1 Nd 3.44
5 Nd 0.3622 0.3622 0.9490  2 Pm 3.58, 9 Nd 3.65-3.74
6 Nd 0.6378 0.6378 0.0510  2 Pm 3.58, 9 Nd 3.65-3.74
7 Nd 0.8669 0.8669 0.4618  4 Zn 3.16-3.21, 1 Nd 3.44
8 Nd 0.9329 0.9329 0.1857  2 Zn 3.16, 1 Pm 3.53
9 Zn 0.4689 0.4689 0.6401  2 Pm 3.11, 6 Nd 3.16-3.21
10 Zn 0.5311 0.5311 0.3599  2 Pm 3.11, 6 Nd 3.16-3.21

Properties
M_tot: 0.00 μB/atom
calculated formation energy: -11 kJ/mol of atoms
E: -4.179 eV per atom
energy above the lowest structure with this stoichiometry: 0.00 eV per formula unit
calculated density: 6.85 g/cm3